Entry 1:
Material: BeCoOs
Method: DFT, PBE
State: relaxed

```
BeCoOs
1.0
5.494 0.000 0.000
0.000 3.540 0.000
0.000 0.000 6.514
Be Co Os
4 4 4
Cartesian
1.330 0.885 0.807
1.417 2.655 4.064
4.077 0.885 2.450
4.164 2.655 5.707
0.806 2.655 6.144
1.941 0.885 2.886
3.553 2.655 3.628
4.688 0.885 0.371
0.156 2.655 2.075
2.591 0.885 5.332
2.903 2.655 1.182
5.338 0.885 4.439
```

Space-group type: Pnma (62)
D(E_F) (states/eV per atom): 0.9318
Formation enthalpy at 0 K (eV per atom): -0.07
Excess energy over the best structure of this formula in the dataset (eV/atom): 0.006
Raw total energy (eV/atom): -7.4195



Entry 2:
Material: BeCoOs2
Method: DFT, PBE
State: relaxed

```
BeCoOs2
1.0
2.752 0.000 0.000
0.000 2.752 0.000
0.000 0.000 6.159
Be Co Os
1 1 2
Cartesian
0.000 0.000 0.000
0.000 0.000 3.080
1.376 1.376 1.396
1.376 1.376 4.764
```

Space-group type: P4/mmm (123)
D(E_F) (states/eV per atom): 0.9631
Formation enthalpy at 0 K (eV per atom): 0.06
Raw total energy (eV/atom): -8.2675



Entry 3:
Material: PaBeCoOs
Method: DFT, PBE
State: relaxed

```
PaBeCoOs
1.0
0.000 3.151 3.151
3.151 0.000 3.151
3.151 3.151 0.000
Pa Be Co Os
1 1 1 1
Cartesian
0.000 0.000 0.000
3.151 3.151 3.151
4.727 4.727 4.727
1.576 1.576 1.576
```

Space-group type: F-43m (216)
D(E_F) (states/eV per atom): 0.6786
Formation enthalpy at 0 K (eV per atom): 0.00
Raw total energy (eV/atom): -7.8853



Entry 4:
Material: RbBeCoOs2
Method: DFT, PBE
State: relaxed

```
RbBeCoOs2
1.0
4.561 0.000 0.000
0.000 4.561 0.000
0.000 0.000 4.502
Rb Be Co Os
1 1 1 2
Cartesian
0.000 0.000 0.000
2.281 2.281 0.000
2.281 2.281 2.251
0.000 2.281 2.251
2.281 0.000 2.251
```

Space-group type: P4/mmm (123)
D(E_F) (states/eV per atom): 1.3330
Formation enthalpy at 0 K (eV per atom): 1.65
Raw total energy (eV/atom): -5.1976



Entry 5:
Material: BeCo2ReOs
Method: DFT, PBE
State: relaxed

```
BeCo2ReOs
1.0
4.319 0.000 0.000
0.000 4.319 0.000
0.000 0.000 4.136
Be Co Re Os
1 2 1 1
Cartesian
0.000 0.000 0.000
0.000 2.160 2.068
2.160 0.000 2.068
0.000 0.000 2.068
2.160 2.160 0.000
```

Space-group type: P4/mmm (123)
D(E_F) (states/eV per atom): 1.1386
Formation enthalpy at 0 K (eV per atom): 1.81
Raw total energy (eV/atom): -6.5120



Entry 6:
Material: BeCoSnOs2
Method: DFT, PBE
State: relaxed

```
BeCoSnOs2
1.0
4.206 0.000 0.000
0.000 4.206 0.000
0.000 0.000 3.941
Be Co Sn Os
1 1 1 2
Cartesian
0.000 0.000 0.000
0.000 0.000 1.971
2.103 2.103 1.971
0.000 2.103 0.000
2.103 0.000 0.000
```

Space-group type: P4/mmm (123)
D(E_F) (states/eV per atom): 1.2654
Formation enthalpy at 0 K (eV per atom): 0.52
Raw total energy (eV/atom): -6.9425



Entry 7:
Material: Ta2Be2Co5Os
Method: DFT, PBE
State: relaxed

```
Ta2Be2Co5Os
1.0
8.268 0.000 0.000
0.000 8.268 0.000
0.000 0.000 3.388
Ta Be Co Os
4 4 10 2
Cartesian
1.513 2.621 0.000
2.621 6.755 0.000
5.647 1.513 0.000
6.755 5.647 0.000
0.915 5.048 0.000
3.219 0.915 0.000
5.048 7.353 0.000
7.353 3.219 0.000
0.000 4.134 1.694
0.569 6.504 1.694
1.764 0.569 1.694
2.370 4.703 1.694
3.564 2.370 1.694
4.134 0.000 1.694
4.703 5.898 1.694
5.898 3.564 1.694
6.504 7.698 1.694
7.698 1.764 1.694
0.000 0.000 0.000
4.134 4.134 0.000
```

Space-group type: P4/mbm (127)
D(E_F) (states/eV per atom): 0.9749
Formation enthalpy at 0 K (eV per atom): -0.18
Raw total energy (eV/atom): -7.9750



Entry 8:
Material: BeCoTcOs
Method: DFT, PBE
State: relaxed

```
BeCoTcOs
1.0
0.000 2.922 2.922
2.922 0.000 2.922
2.922 2.922 0.000
Be Co Tc Os
1 1 1 1
Cartesian
0.000 0.000 0.000
1.461 1.461 1.461
2.922 2.922 2.922
4.383 4.383 4.383
```

Space-group type: F-43m (216)
D(E_F) (states/eV per atom): 0.5429
Formation enthalpy at 0 K (eV per atom): 0.08
Raw total energy (eV/atom): -8.0220



Entry 9:
Material: Be2CoTeOs
Method: DFT, PBE
State: relaxed

```
Be2CoTeOs
1.0
3.986 0.000 0.000
0.000 3.986 0.000
0.000 0.000 4.620
Be Co Te Os
2 1 1 1
Cartesian
0.000 1.993 0.000
1.993 0.000 0.000
0.000 0.000 0.000
0.000 0.000 2.310
1.993 1.993 2.310
```

Space-group type: P4/mmm (123)
D(E_F) (states/eV per atom): 0.7315
ΔE_f (raw) (eV/f.u.): 5.07
Raw total energy (eV/atom): -4.7729



Entry 10:
Material: Ti4BeCo2Os
Method: DFT, PBE
State: relaxed

```
Ti4BeCo2Os
1.0
2.127 1.228 6.972
-2.127 1.228 6.972
0.000 -2.456 6.972
Ti Be Co Os
4 1 2 1
Cartesian
0.000 0.000 2.585
0.000 0.000 7.813
0.000 0.000 13.104
0.000 0.000 18.332
0.000 0.000 0.000
0.000 0.000 5.304
0.000 0.000 15.613
0.000 0.000 10.458
```

Space-group type: R-3m (166)
D(E_F) (states/eV per atom): 0.6955
Formation enthalpy at 0 K (eV per atom): -0.39
Raw total energy (eV/atom): -7.9849



Entry 11:
Material: Be2Co2P
Method: DFT, PBE
State: relaxed

```
Be2Co2P
1.0
5.571 0.000 0.000
0.000 5.571 0.000
0.000 0.000 3.322
Be Co P
4 4 2
Cartesian
0.789 1.996 0.000
1.996 4.782 0.000
3.575 0.789 0.000
4.782 3.575 0.000
0.875 3.660 1.661
1.911 0.875 1.661
3.660 4.697 1.661
4.697 1.911 1.661
0.000 0.000 1.661
2.786 2.786 1.661
```

Space-group type: P4/mbm (127)
D(E_F) (states/eV per atom): 0.6966
Formation enthalpy at 0 K (eV per atom): -0.22
Excess energy over the best structure of this formula in the dataset (eV/atom): 0.000
Raw total energy (eV/atom): -5.6373



Entry 12:
Material: Be2CoP
Method: DFT, PBE
State: relaxed

```
Be2CoP
1.0
3.902 -1.269 0.000
3.902 1.269 0.000
-0.491 0.000 3.845
Be Co P
2 1 1
Cartesian
1.779 0.000 0.923
5.535 0.000 2.922
3.902 0.000 0.000
-0.246 0.000 1.922
```

Space-group type: C2/m (12)
D(E_F) (states/eV per atom): 0.2701
Formation enthalpy at 0 K (eV per atom): -0.07
Raw total energy (eV/atom): -5.0657